Entry 1:
Density functional theory data (PBE) for a geometry-optimized Ag7TeS2Br2 structure.

a b c (Å): 4.528 6.878 10.870
angles (deg): 108.44 102.02 90.00
Fractional positions:
Te 0.000 0.077 0.000
Br 0.709 0.277 0.418
Br 0.291 0.859 0.582
Ag 0.281 0.256 0.562
Ag 0.578 0.024 0.155
Ag 0.922 0.388 0.843
Ag 0.078 0.544 0.157
Ag 0.719 0.694 0.438
Ag 0.422 0.868 0.845
Ag 0.500 0.336 0.000
S 0.602 0.690 0.203
S 0.398 0.487 0.797

Calculated values
Its space group is Imm2, No. 44. The total energy is -2.996 eV/atom.

---

Entry 2:
Density functional theory data (PBE) for a geometry-optimized TlAg2SBr structure.

a b c (Å): 4.766 4.766 6.596
angles (deg): 90.00 90.00 90.00
Fractional positions:
Ag 0.000 0.500 0.000
Ag 0.500 0.000 0.000
Tl 0.000 0.000 0.500
Br 0.500 0.500 0.500
S 0.000 0.000 0.000

Calculated values
Its space group is P4/mmm, No. 123. The total energy is -3.033 eV/atom.

---

Entry 3:
Density functional theory data (PBE) for a geometry-optimized Tl2AgSBr structure.

a b c (Å): 6.159 6.159 4.664
angles (deg): 90.00 90.00 90.00
Fractional positions:
Tl 0.500 0.000 0.000
Tl 0.000 0.500 0.000
Br 0.500 0.500 0.500
S 0.000 0.000 0.000
Ag 0.000 0.000 0.500

Calculated values
Its space group is P4/mmm, No. 123. The total energy is -2.994 eV/atom.

---

Entry 4:
Density functional theory data (PBE) for a geometry-optimized Ag2Sb2Br structure.

a b c (Å): 4.274 4.274 7.898
angles (deg): 74.30 74.30 90.00
Fractional positions:
Br 0.000 0.000 0.000
Ag 0.400 0.400 0.201
Ag 0.600 0.600 0.799
Sb 0.250 0.750 0.500
Sb 0.750 0.250 0.500

Calculated values
Its space group is I4/mmm, No. 139. As for the energy above the lowest structure with this stoichiometry: 1.137 kcal/mol of atoms. The total energy is -2.960 eV/atom.

---

Entry 5:
Density functional theory data (PBE) for a geometry-optimized Ag2SbBr structure.

a b c (Å): 5.776 5.776 5.776
angles (deg): 144.06 120.69 71.33
Fractional positions:
Ag 0.492 0.492 0.000
Ag 0.008 0.008 0.000
Br 0.750 0.250 0.500
Sb 0.250 0.750 0.500

Calculated values
Its space group is Immm, No. 71. As for the energy above the lowest structure with this stoichiometry: 5.295 kcal/mol of atoms. The total energy is -2.698 eV/atom.

---

Entry 6:
Density functional theory data (PBE) for a geometry-optimized AgSbBr2 structure.

a b c (Å): 7.931 7.931 6.602
angles (deg): 53.09 53.09 90.00
Fractional positions:
Br 0.375 0.387 0.750
Br 0.613 0.125 0.250
Br 0.137 0.625 0.250
Br 0.875 0.863 0.750
Ag 0.500 0.500 0.000
Ag 0.250 0.750 0.500
Sb 0.750 0.250 0.500
Sb 0.000 0.000 0.000

Calculated values
Its space group is I-42d, No. 122. As for the energy above the lowest structure with this stoichiometry: 6.618 kcal/mol of atoms. The total energy is -2.524 eV/atom.

---

Entry 7:
Density functional theory data (PBE) for a geometry-optimized AgSbBr structure.

a b c (Å): 4.110 7.478 7.052
angles (deg): 106.40 89.96 74.00
Fractional positions:
Br 0.387 0.843 0.131
Br 0.083 0.482 0.394
Sb 0.387 0.882 0.745
Sb 0.743 0.168 0.778
Ag 0.601 0.447 0.130
Ag 0.267 0.141 0.477

Calculated values
Its space group is P1, No. 1. As for the energy above the lowest structure with this stoichiometry: 0.000 kcal/mol of atoms. The total energy is -3.032 eV/atom.

---

Entry 8:
Density functional theory data (PBE) for a geometry-optimized AgSbBr2 structure.

a b c (Å): 3.675 3.675 9.140
angles (deg): 90.00 90.00 120.00
Fractional positions:
Sb 0.500 0.500 0.250
Ag 0.500 0.500 0.750
Br 0.000 0.000 0.973
Br 0.000 0.000 0.527

Calculated values
Its space group is Cmmm, No. 65. As for the energy above the lowest structure with this stoichiometry: 4.881 kcal/mol of atoms. The total energy is -2.600 eV/atom.

---

Entry 9:
Density functional theory data (PBE) for a geometry-optimized AgSbBr2 structure.

a b c (Å): 3.713 3.713 9.173
angles (deg): 90.00 90.00 111.04
Fractional positions:
Ag 0.500 0.500 0.742
Br 0.500 0.500 0.307
Br 0.000 0.000 0.913
Sb 0.000 0.000 0.538

Calculated values
Its space group is Cmm2, No. 35. As for the energy above the lowest structure with this stoichiometry: 3.370 kcal/mol of atoms. The total energy is -2.665 eV/atom.

---

Entry 10:
Density functional theory data (PBE) for a geometry-optimized Ag2SbBr structure.

a b c (Å): 3.412 5.604 4.905
angles (deg): 90.00 90.00 90.00
Fractional positions:
Ag 0.500 0.500 0.000
Ag 0.000 0.000 0.000
Br 0.500 0.000 0.500
Sb 0.000 0.500 0.500

Calculated values
Its space group is Pmmm, No. 47. As for the energy above the lowest structure with this stoichiometry: 5.767 kcal/mol of atoms. The total energy is -2.678 eV/atom.

---

Entry 11:
Density functional theory data (PBE) for a geometry-optimized AgSbBr2 structure.

a b c (Å): 3.554 6.528 4.690
angles (deg): 90.00 90.00 90.00
Fractional positions:
Br 0.500 0.500 0.000
Br 0.000 0.000 0.000
Ag 0.000 0.500 0.500
Sb 0.500 0.000 0.500

Calculated values
Its space group is Pmmm, No. 47. As for the energy above the lowest structure with this stoichiometry: 7.459 kcal/mol of atoms. The total energy is -2.488 eV/atom.

---

Entry 12:
Density functional theory data (PBE) for a geometry-optimized Ag2SbBr structure.

a b c (Å): 5.393 5.393 3.180
angles (deg): 90.00 90.00 90.00
Fractional positions:
Sb 0.000 0.500 0.500
Ag 0.500 0.500 0.000
Ag 0.000 0.000 0.000
Br 0.500 0.000 0.500

Calculated values
Its space group is P4/mmm, No. 123. As for the energy above the lowest structure with this stoichiometry: 4.953 kcal/mol of atoms. The total energy is -2.713 eV/atom.

---

Here are the calculated formation energy without anion corrections numbers, same order: -105 -259 -317 164 176 55 -149 -20 -85 197 92 162 (meV per atom).